Entry 1:
Density functional theory data (GGA-PBE) for an optimized crystal structure of TmPaPO.

Geometry as POSCAR:
```
TmPaPO
1.0
4.134 0.000 0.000
0.000 4.134 0.000
0.000 0.000 8.911
Tm Pa P O
2 2 2 2
direct
0.250 0.750 0.000
0.750 0.250 0.000
0.250 0.250 0.359
0.750 0.750 0.641
0.250 0.250 0.788
0.750 0.750 0.212
0.250 0.750 0.500
0.750 0.250 0.500
```

Summary:
For the electronic total energy, the calculation gives -0.2737 Ha/atom. The total magnetization is 2.04 μB/cell. As for the space group: P4/nmm (129). The value obtained for the calculated density is 9.75 g/cm3. The volume is 19.03 A^3/atom.

=====

Entry 2:
Density functional theory data (GGA-PBE) for an optimized crystal structure of NdSmSc.

Geometry as POSCAR:
```
NdSmSc
1.0
7.527 0.000 0.000
0.000 7.527 0.000
0.000 0.000 7.527
Nd Sm Sc
4 4 4
direct
0.000 0.000 0.000
0.000 0.500 0.500
0.500 0.000 0.500
0.500 0.500 0.000
0.000 0.000 0.500
0.000 0.500 0.000
0.500 0.000 0.000
0.500 0.500 0.500
0.250 0.250 0.250
0.250 0.750 0.750
0.750 0.250 0.750
0.750 0.750 0.250
```

Summary:
For the electronic total energy, the calculation gives -0.1695 Ha/atom. The total magnetization is 0.19 μB/cell. As for the space group: F-43m (216). The value obtained for the calculated density is 5.29 g/cm3. The volume is 35.54 A^3/atom. The calculation puts the formation energy at 1.964 eV/f.u.

=====

Entry 3:
Density functional theory data (GGA-PBE) for an optimized crystal structure of RbZrTlTe3.

Geometry as POSCAR:
```
RbZrTlTe3
1.0
14.361 0.000 0.000
0.000 4.280 0.000
0.000 0.000 14.833
Rb Zr Tl Te
4 4 4 12
direct
0.108 0.250 0.101
0.392 0.750 0.601
0.608 0.250 0.399
0.892 0.750 0.899
0.012 0.750 0.381
0.488 0.250 0.881
0.512 0.750 0.119
0.988 0.250 0.619
0.174 0.750 0.913
0.326 0.250 0.413
0.674 0.750 0.587
0.826 0.250 0.087
0.075 0.250 0.795
0.115 0.750 0.555
0.137 0.250 0.325
0.363 0.750 0.825
0.385 0.250 0.055
0.425 0.750 0.295
0.575 0.250 0.705
0.615 0.750 0.945
0.637 0.250 0.175
0.863 0.750 0.675
0.885 0.250 0.445
0.925 0.750 0.205
```

Summary:
For the electronic total energy, the calculation gives -0.1561 Ha/atom. The total magnetization is 0.01 μB/cell. As for the space group: Pnma (62). The value obtained for the calculated density is 5.57 g/cm3. The volume is 37.99 A^3/atom.

=====

Entry 4:
Density functional theory data (GGA-PBE) for an optimized crystal structure of CdSiNiPt.

Geometry as POSCAR:
```
CdSiNiPt
1.0
6.191 0.000 0.000
0.000 6.191 0.000
0.000 0.000 6.191
Cd Si Ni Pt
4 4 4 4
direct
0.000 0.000 0.000
0.000 0.500 0.500
0.500 0.000 0.500
0.500 0.500 0.000
0.000 0.000 0.500
0.000 0.500 0.000
0.500 0.000 0.000
0.500 0.500 0.500
0.250 0.250 0.750
0.250 0.750 0.250
0.750 0.250 0.250
0.750 0.750 0.750
0.250 0.250 0.250
0.250 0.750 0.750
0.750 0.250 0.750
0.750 0.750 0.250
```

Summary:
For the electronic total energy, the calculation gives -0.1691 Ha/atom. The total magnetization is 0.01 μB/cell. As for the space group: F-43m (216). The value obtained for the calculated density is 11.04 g/cm3. The volume is 14.83 A^3/atom.

=====

Entry 5:
Density functional theory data (GGA-PBE) for an optimized crystal structure of FeCuBIr.

Geometry as POSCAR:
```
FeCuBIr
1.0
5.661 0.000 0.000
0.000 5.661 0.000
0.000 0.000 5.661
Fe Cu B Ir
4 4 4 4
direct
0.000 0.000 0.000
0.000 0.500 0.500
0.500 0.000 0.500
0.500 0.500 0.000
0.250 0.250 0.750
0.250 0.750 0.250
0.750 0.250 0.250
0.750 0.750 0.750
0.000 0.000 0.500
0.000 0.500 0.000
0.500 0.000 0.000
0.500 0.500 0.500
0.250 0.250 0.250
0.250 0.750 0.750
0.750 0.250 0.750
0.750 0.750 0.250
```

Summary:
For the electronic total energy, the calculation gives -0.2411 Ha/atom. The total magnetization is 11.69 μB/cell. As for the space group: F-43m (216). The value obtained for the calculated density is 11.81 g/cm3. The volume is 11.34 A^3/atom.

=====

Entry 6:
Density functional theory data (GGA-PBE) for an optimized crystal structure of LaPr2Zn2Si4Pd2.

Geometry as POSCAR:
```
LaPr2Zn2Si4Pd2
1.0
-2.087 2.137 12.564
2.087 -2.137 12.564
2.087 2.137 -12.564
La Pr Zn Si Pd
1 2 2 4 2
direct
0.000 0.000 0.000
0.353 0.853 0.500
0.647 0.147 0.500
0.250 0.250 0.000
0.750 0.750 0.000
0.191 0.691 0.500
0.452 0.452 0.000
0.548 0.548 0.000
0.809 0.309 0.500
0.095 0.595 0.500
0.905 0.405 0.500
```

Summary:
For the electronic total energy, the calculation gives -0.1915 Ha/atom. The total magnetization is 0.00 μB/cell. As for the space group: Immm (71). The value obtained for the calculated density is 6.50 g/cm3. The volume is 20.37 A^3/atom.

=====

Entry 7:
Density functional theory data (GGA-PBE) for an optimized crystal structure of CuAsPdW.

Geometry as POSCAR:
```
CuAsPdW
1.0
6.200 0.000 0.000
0.000 6.200 0.000
0.000 0.000 6.200
Cu As Pd W
4 4 4 4
direct
0.000 0.000 0.000
0.000 0.500 0.500
0.500 0.000 0.500
0.500 0.500 0.000
0.250 0.250 0.750
0.250 0.750 0.250
0.750 0.250 0.250
0.750 0.750 0.750
0.250 0.250 0.250
0.250 0.750 0.750
0.750 0.250 0.750
0.750 0.750 0.250
0.000 0.000 0.500
0.000 0.500 0.000
0.500 0.000 0.000
0.500 0.500 0.500
```

Summary:
For the electronic total energy, the calculation gives -0.2350 Ha/atom. The total magnetization is 0.08 μB/cell. As for the space group: F-43m (216). The value obtained for the calculated density is 11.95 g/cm3. The volume is 14.90 A^3/atom.

=====

Entry 8:
Density functional theory data (GGA-PBE) for an optimized crystal structure of AgH6CSN3.

Geometry as POSCAR:
```
AgH6CSN3
1.0
6.311 -3.567 0.000
6.311 3.567 0.000
-1.887 0.000 11.844
Ag H C S N
4 24 4 4 12
direct
0.045 0.068 0.149
0.068 0.045 0.649
0.932 0.955 0.351
0.955 0.932 0.851
0.068 0.416 0.099
0.137 0.481 0.821
0.152 0.510 0.366
0.175 0.532 0.958
0.235 0.546 0.252
0.331 0.592 0.379
0.408 0.669 0.121
0.416 0.068 0.599
0.454 0.765 0.248
0.468 0.825 0.542
0.481 0.137 0.321
0.490 0.848 0.134
0.510 0.152 0.866
0.519 0.863 0.679
0.532 0.175 0.458
0.546 0.235 0.752
0.584 0.932 0.401
0.592 0.331 0.879
0.669 0.408 0.621
0.765 0.454 0.748
0.825 0.468 0.042
0.848 0.490 0.634
0.863 0.519 0.179
0.932 0.584 0.901
0.219 0.536 0.604
0.464 0.781 0.896
0.536 0.219 0.104
0.781 0.464 0.396
0.024 0.252 0.393
0.252 0.024 0.893
0.748 0.976 0.107
0.976 0.748 0.607
0.068 0.587 0.888
0.194 0.606 0.334
0.379 0.394 0.101
0.394 0.379 0.601
0.394 0.806 0.166
0.413 0.932 0.612
0.587 0.068 0.388
0.606 0.194 0.834
0.606 0.621 0.399
0.621 0.606 0.899
0.806 0.394 0.666
0.932 0.413 0.112
```

Summary:
For the electronic total energy, the calculation gives -0.1944 Ha/atom. As for the space group: C2/c (15). The value obtained for the calculated density is 2.49 g/cm3. The volume is 11.11 A^3/atom.

=====

> Number 2 is which compound?

NdSmSc

=====

> What is the calculated density in the first record?

9.75 g/cm3

=====

> Which of these has the highest calculated density?

CuAsPdW